A plane-wave DFT calculation with PBE-GGA was carried out for a geometry-optimized IrPb3S structure.

The structure in CIF format:
```
data_IrPb3S
_space_group_name_H-M_alt 'P m -3 m'
_space_group_IT_number 221
_space_group_name_Hall '-P 4 2 3'
_cell_length_a 5.361
_cell_length_b 5.361
_cell_length_c 5.361
_cell_angle_alpha 90.00
_cell_angle_beta 90.00
_cell_angle_gamma 90.00
loop_
_atom_site_label
_atom_site_fract_x
_atom_site_fract_y
_atom_site_fract_z
Ir1 0.000 0.000 0.000
Pb1 0.000 0.500 0.500
S1 0.500 0.500 0.500
```

Output
* magnetization: 0.00 μB per formula unit
* formation energy from raw total energies: 0.906 eV per atom
* E: -3.916 eV per atom